Entry from Alexandria via LeMat-Bulk: a geometry-optimized Ho8Tc2Hg structure (PBE).

```
Ho8Tc2Hg
1.0
5.0420 0.0662 -1.5108
-0.8951 6.2778 -2.7136
-0.0670 0.0743 8.9535
Ho Tc Hg
8 2 1
direct
0.6364 0.2664 0.9089
0.9714 0.0172 0.5793
0.3013 0.3470 0.2389
0.7472 0.9340 0.1307
0.3464 0.8601 0.3294
0.9263 0.4399 0.4889
0.1367 0.5459 0.9093
0.5257 0.7122 0.6876
0.7992 0.6173 0.2358
0.4730 0.2902 0.5819
0.1364 0.9699 0.9092
```

Properties
DOS at the Fermi energy = 0.757 states/eV per atom
raw total energy = -5.3757 eV/atom



Entry from Alexandria via LeMat-Bulk: a geometry-optimized NbIn3Ga structure (PBE).

```
NbIn3Ga
1.0
5.1937 0.0000 0.0000
0.0000 5.1937 0.0000
0.0000 0.0000 5.1937
Nb Ga In
1 1 3
direct
0.5000 0.5000 0.5000
0.0000 0.0000 0.0000
0.0000 0.5000 0.0000
0.0000 0.0000 0.5000
0.5000 0.0000 0.0000
```

Properties
DOS at the Fermi energy = 1.317 states/eV per atom
raw total energy = -3.2885 eV/atom



Entry from Alexandria via LeMat-Bulk: a geometry-optimized Ti4BeCo2Ir structure (PBE).

```
Ti4BeCo2Ir
1.0
4.2606 0.0000 0.0000
2.1303 3.6898 0.0000
2.1303 1.2299 6.9965
Ti Be Co Ir
4 1 2 1
direct
0.3774 0.3774 0.8677
0.8726 0.8726 0.3822
0.1274 0.1274 0.6178
0.6226 0.6226 0.1323
0.5000 0.5000 0.5000
0.7532 0.7532 0.7403
0.2468 0.2468 0.2597
0.0000 0.0000 0.0000
```

Properties
DOS at the Fermi energy = 0.666 states/eV per atom
raw total energy = -7.7512 eV/atom



Entry from Alexandria via LeMat-Bulk: a geometry-optimized Pm2YPu structure (PBE).

```
Pm2YPu
1.0
-2.9151 -3.9860 0.8846
3.2035 -1.5448 3.5958
-2.5846 2.6543 3.4429
Y Pm Pu
1 2 1
direct
0.5000 0.5000 0.5000
0.0000 0.0000 0.5000
0.0000 0.5000 0.0000
0.5000 0.0000 0.0000
```

Properties
DOS at the Fermi energy = 4.024 states/eV per atom
raw total energy = -7.4211 eV/atom